{
  "formula": "LiBe2Cr",
  "functional": "PBE",
  "state": "optimized geometry",
  "cell": [[2.441, 0.000, 0.000], [0.000, 3.246, 0.000], [-0.021, 0.000, 5.413]],
  "species": ["Li", "Be", "Be", "Cr"],
  "frac_coords": [[0.000, 0.000, 0.000], [0.499, 0.500, 0.288], [0.501, 0.500, 0.712], [0.000, 0.000, 0.500]],
  "formation_energy_ev_per_fu": 0.826,
  "total_magnetization_mub_per_fu": 0.01
}